No. 1
The following is a DFT calculation (PBE-GGA) of crystalline ScOs2Ru at its relaxed geometry.

Cell and atoms, written as CIF:
```
data_ScOs2Ru
_chemical_formula_sum 'Sc1 Os2 Ru1'
_cell_length_a 4.4393
_cell_length_b 4.4393
_cell_length_c 4.4393
_cell_angle_alpha 60.00
_cell_angle_beta 60.00
_cell_angle_gamma 60.00
_symmetry_space_group_name_H-M 'P 1'
_symmetry_Int_Tables_number 1
loop_
_symmetry_equiv_pos_as_xyz
'x,y,z'
loop_
_atom_site_label
_atom_site_type_symbol
_atom_site_fract_x
_atom_site_fract_y
_atom_site_fract_z
_atom_site_occupancy
Sc1 Sc 0.0000 0.0000 0.0000 1
Os1 Os 0.2500 0.2500 0.2500 1
Os2 Os 0.7500 0.7500 0.7500 1
Ru1 Ru 0.5000 0.5000 0.5000 1
```

Output
* energy relative to the elements: 222 meV per atom
* space group: No. 225
* V: 61.9 Å³ per cell

---

No. 2
The following is a DFT calculation (PBE-GGA) of crystalline ScOs3Ru at its relaxed geometry.

Cell and atoms, written as CIF:
```
data_ScOs3Ru
_chemical_formula_sum 'Sc1 Os3 Ru1'
_cell_length_a 4.5293
_cell_length_b 4.5293
_cell_length_c 4.5293
_cell_angle_alpha 90.00
_cell_angle_beta 90.00
_cell_angle_gamma 90.00
_symmetry_space_group_name_H-M 'P 1'
_symmetry_Int_Tables_number 1
loop_
_symmetry_equiv_pos_as_xyz
'x,y,z'
loop_
_atom_site_label
_atom_site_type_symbol
_atom_site_fract_x
_atom_site_fract_y
_atom_site_fract_z
_atom_site_occupancy
Os1 Os 0.0000 0.0000 0.5000 1
Sc1 Sc 0.0000 0.0000 0.0000 1
Ru1 Ru 0.5000 0.5000 0.5000 1
Os2 Os 0.5000 0.0000 0.0000 1
Os3 Os 0.0000 0.5000 0.0000 1
```

Output
* energy relative to the elements: 2492 meV per atom
* space group: No. 221
* V: 92.9 Å³ per cell

---

No. 3
The following is a DFT calculation (PBE-GGA) of crystalline ScOs2Ru at its relaxed geometry.

Cell and atoms, written as CIF:
```
data_ScOs2Ru
_chemical_formula_sum 'Sc2 Os4 Ru2'
_cell_length_a 7.5028
_cell_length_b 7.5028
_cell_length_c 5.8629
_cell_angle_alpha 50.22
_cell_angle_beta 50.22
_cell_angle_gamma 90.00
_symmetry_space_group_name_H-M 'P 1'
_symmetry_Int_Tables_number 1
loop_
_symmetry_equiv_pos_as_xyz
'x,y,z'
loop_
_atom_site_label
_atom_site_type_symbol
_atom_site_fract_x
_atom_site_fract_y
_atom_site_fract_z
_atom_site_occupancy
Ru1 Ru 0.7500 0.2500 0.5000 1
Os1 Os 0.3750 0.3255 0.7500 1
Sc1 Sc 0.2500 0.7500 0.5000 1
Os2 Os 0.0755 0.6250 0.2500 1
Os3 Os 0.6745 0.1250 0.2500 1
Os4 Os 0.8750 0.9245 0.7500 1
Ru2 Ru 0.0000 0.0000 0.0000 1
Sc2 Sc 0.5000 0.5000 0.0000 1
```

Output
* energy relative to the elements: 484 meV per atom
* space group: No. 122
* V: 140.5 Å³ per cell

---

No. 4
The following is a DFT calculation (PBE-GGA) of crystalline Sc8Os2Ru at its relaxed geometry.

Cell and atoms, written as CIF:
```
data_Sc8Os2Ru
_chemical_formula_sum 'Sc8 Os2 Ru1'
_cell_length_a 4.5468
_cell_length_b 6.4649
_cell_length_c 8.3251
_cell_angle_alpha 108.11
_cell_angle_beta 105.85
_cell_angle_gamma 90.00
_symmetry_space_group_name_H-M 'P 1'
_symmetry_Int_Tables_number 1
loop_
_symmetry_equiv_pos_as_xyz
'x,y,z'
loop_
_atom_site_label
_atom_site_type_symbol
_atom_site_fract_x
_atom_site_fract_y
_atom_site_fract_z
_atom_site_occupancy
Sc1 Sc 0.8004 0.7019 0.6009 1
Sc2 Sc 0.6652 0.9534 0.3305 1
Sc3 Sc 0.9735 0.2104 0.9469 1
Sc4 Sc 0.3348 0.0466 0.6695 1
Ru1 Ru 0.5000 0.0000 0.0000 1
Sc5 Sc 0.1996 0.2981 0.3991 1
Os1 Os 0.1809 0.6907 0.3618 1
Sc6 Sc 0.4001 0.5466 0.8003 1
Sc7 Sc 0.0265 0.7896 0.0531 1
Os2 Os 0.8191 0.3093 0.6382 1
Sc8 Sc 0.5999 0.4534 0.1997 1
```

Output
* energy relative to the elements: -354 meV per atom
* space group: No. 12
* V: 222.8 Å³ per cell

---

No. 5
The following is a DFT calculation (PBE-GGA) of crystalline ScOs2Ru at its relaxed geometry.

Cell and atoms, written as CIF:
```
data_ScOs2Ru
_chemical_formula_sum 'Sc1 Os2 Ru1'
_cell_length_a 9.2818
_cell_length_b 9.2818
_cell_length_c 9.2818
_cell_angle_alpha 17.29
_cell_angle_beta 17.29
_cell_angle_gamma 17.29
_symmetry_space_group_name_H-M 'P 1'
_symmetry_Int_Tables_number 1
loop_
_symmetry_equiv_pos_as_xyz
'x,y,z'
loop_
_atom_site_label
_atom_site_type_symbol
_atom_site_fract_x
_atom_site_fract_y
_atom_site_fract_z
_atom_site_occupancy
Os1 Os 0.9958 0.9958 0.9958 1
Sc1 Sc 0.7500 0.7500 0.7500 1
Os2 Os 0.5042 0.5042 0.5042 1
Ru1 Ru 0.2500 0.2500 0.2500 1
```

Output
* energy relative to the elements: 204 meV per atom
* space group: No. 166
* V: 61.6 Å³ per cell

---

No. 6
The following is a DFT calculation (PBE-GGA) of crystalline ScOs2Ru at its relaxed geometry.

Cell and atoms, written as CIF:
```
data_ScOs2Ru
_chemical_formula_sum 'Sc1 Os2 Ru1'
_cell_length_a 4.8083
_cell_length_b 4.8083
_cell_length_c 4.8083
_cell_angle_alpha 131.36
_cell_angle_beta 131.36
_cell_angle_gamma 71.24
_symmetry_space_group_name_H-M 'P 1'
_symmetry_Int_Tables_number 1
loop_
_symmetry_equiv_pos_as_xyz
'x,y,z'
loop_
_atom_site_label
_atom_site_type_symbol
_atom_site_fract_x
_atom_site_fract_y
_atom_site_fract_z
_atom_site_occupancy
Os1 Os 0.0000 0.0000 0.0000 1
Sc1 Sc 0.7500 0.2500 0.5000 1
Os2 Os 0.2500 0.7500 0.5000 1
Ru1 Ru 0.5000 0.5000 0.0000 1
```

Output
* energy relative to the elements: 54 meV per atom
* space group: No. 119
* V: 61.3 Å³ per cell

---

No. 7
The following is a DFT calculation (PBE-GGA) of crystalline Sc3Os2Ru at its relaxed geometry.

Cell and atoms, written as CIF:
```
data_Sc3Os2Ru
_chemical_formula_sum 'Sc6 Os4 Ru2'
_cell_length_a 4.5357
_cell_length_b 7.1682
_cell_length_c 6.4700
_cell_angle_alpha 90.00
_cell_angle_beta 90.00
_cell_angle_gamma 71.56
_symmetry_space_group_name_H-M 'P 1'
_symmetry_Int_Tables_number 1
loop_
_symmetry_equiv_pos_as_xyz
'x,y,z'
loop_
_atom_site_label
_atom_site_type_symbol
_atom_site_fract_x
_atom_site_fract_y
_atom_site_fract_z
_atom_site_occupancy
Sc1 Sc 0.8333 0.3334 0.7504 1
Os1 Os 0.0000 0.0000 0.5000 1
Os2 Os 0.0000 0.0000 0.0000 1
Os3 Os 0.6670 0.6660 0.5000 1
Sc2 Sc 0.5000 0.0000 0.2501 1
Sc3 Sc 0.8333 0.3334 0.2496 1
Sc4 Sc 0.1667 0.6666 0.7504 1
Ru1 Ru 0.6663 0.6673 0.0000 1
Ru2 Ru 0.3337 0.3327 0.0000 1
Sc5 Sc 0.5000 0.0000 0.7499 1
Sc6 Sc 0.1667 0.6666 0.2496 1
Os4 Os 0.3330 0.3340 0.5000 1
```

Output
* energy relative to the elements: -393 meV per atom
* space group: No. 65
* V: 199.6 Å³ per cell

---

No. 8
The following is a DFT calculation (PBE-GGA) of crystalline Sc5OsRu4 at its relaxed geometry.

Cell and atoms, written as CIF:
```
data_Sc5OsRu4
_chemical_formula_sum 'Sc5 Os1 Ru4'
_cell_length_a 3.2121
_cell_length_b 3.2121
_cell_length_c 16.0692
_cell_angle_alpha 90.00
_cell_angle_beta 90.00
_cell_angle_gamma 90.00
_symmetry_space_group_name_H-M 'P 1'
_symmetry_Int_Tables_number 1
loop_
_symmetry_equiv_pos_as_xyz
'x,y,z'
loop_
_atom_site_label
_atom_site_type_symbol
_atom_site_fract_x
_atom_site_fract_y
_atom_site_fract_z
_atom_site_occupancy
Sc1 Sc 0.5000 0.5000 0.6996 1
Ru1 Ru 0.0000 0.0000 0.4000 1
Ru2 Ru 0.0000 0.0000 0.7994 1
Sc2 Sc 0.5000 0.5000 0.3004 1
Sc3 Sc 0.5000 0.5000 0.8993 1
Ru3 Ru 0.0000 0.0000 0.6000 1
Ru4 Ru 0.0000 0.0000 0.2006 1
Sc4 Sc 0.5000 0.5000 0.1007 1
Os1 Os 0.0000 0.0000 0.0000 1
Sc5 Sc 0.5000 0.5000 0.5000 1
```

Output
* energy relative to the elements: -495 meV per atom
* space group: No. 123
* V: 165.8 Å³ per cell

---

No. 9
The following is a DFT calculation (PBE-GGA) of crystalline Sc4OsRu3 at its relaxed geometry.

Cell and atoms, written as CIF:
```
data_Sc4OsRu3
_chemical_formula_sum 'Sc4 Os1 Ru3'
_cell_length_a 4.5524
_cell_length_b 4.5524
_cell_length_c 7.1665
_cell_angle_alpha 108.55
_cell_angle_beta 108.52
_cell_angle_gamma 90.00
_symmetry_space_group_name_H-M 'P 1'
_symmetry_Int_Tables_number 1
loop_
_symmetry_equiv_pos_as_xyz
'x,y,z'
loop_
_atom_site_label
_atom_site_type_symbol
_atom_site_fract_x
_atom_site_fract_y
_atom_site_fract_z
_atom_site_occupancy
Os1 Os 0.5000 0.0000 0.0000 1
Ru1 Ru 0.7488 0.2489 0.4977 1
Sc1 Sc 0.6248 0.6246 0.2496 1
Ru2 Ru 0.0000 0.5000 0.0000 1
Sc2 Sc 0.1248 0.1246 0.2496 1
Sc3 Sc 0.3752 0.3754 0.7504 1
Sc4 Sc 0.8752 0.8754 0.7504 1
Ru3 Ru 0.2512 0.7511 0.5023 1
```

Output
* energy relative to the elements: -481 meV per atom
* space group: No. 139
* V: 132.7 Å³ per cell

---

No. 10
The following is a DFT calculation (PBE-GGA) of crystalline Sc3OsRu2 at its relaxed geometry.

Cell and atoms, written as CIF:
```
data_Sc3OsRu2
_chemical_formula_sum 'Sc3 Os1 Ru2'
_cell_length_a 3.2231
_cell_length_b 3.2231
_cell_length_c 9.5785
_cell_angle_alpha 90.00
_cell_angle_beta 90.00
_cell_angle_gamma 90.00
_symmetry_space_group_name_H-M 'P 1'
_symmetry_Int_Tables_number 1
loop_
_symmetry_equiv_pos_as_xyz
'x,y,z'
loop_
_atom_site_label
_atom_site_type_symbol
_atom_site_fract_x
_atom_site_fract_y
_atom_site_fract_z
_atom_site_occupancy
Sc1 Sc 0.0000 0.0000 0.6675 1
Sc2 Sc 0.0000 0.0000 0.0000 1
Ru1 Ru 0.5000 0.5000 0.1654 1
Ru2 Ru 0.5000 0.5000 0.8346 1
Os1 Os 0.5000 0.5000 0.5000 1
Sc3 Sc 0.0000 0.0000 0.3325 1
```

Output
* energy relative to the elements: -466 meV per atom
* space group: No. 123
* V: 99.5 Å³ per cell

---

No. 11
The following is a DFT calculation (PBE-GGA) of crystalline ScOs2Ru at its relaxed geometry.

Cell and atoms, written as CIF:
```
data_ScOs2Ru
_chemical_formula_sum 'Sc1 Os2 Ru1'
_cell_length_a 4.0171
_cell_length_b 3.9047
_cell_length_c 3.9047
_cell_angle_alpha 90.00
_cell_angle_beta 90.00
_cell_angle_gamma 90.00
_symmetry_space_group_name_H-M 'P 1'
_symmetry_Int_Tables_number 1
loop_
_symmetry_equiv_pos_as_xyz
'x,y,z'
loop_
_atom_site_label
_atom_site_type_symbol
_atom_site_fract_x
_atom_site_fract_y
_atom_site_fract_z
_atom_site_occupancy
Os1 Os 0.0000 0.5000 0.5000 1
Ru1 Ru 0.5000 0.5000 0.0000 1
Os2 Os 0.0000 0.0000 0.0000 1
Sc1 Sc 0.5000 0.0000 0.5000 1
```

Output
* energy relative to the elements: 46 meV per atom
* space group: No. 123
* V: 61.2 Å³ per cell

---

No. 12
The following is a DFT calculation (PBE-GGA) of crystalline ScOs4Ru at its relaxed geometry.

Cell and atoms, written as CIF:
```
data_ScOs4Ru
_chemical_formula_sum 'Sc1 Os4 Ru1'
_cell_length_a 5.1480
_cell_length_b 5.1480
_cell_length_c 5.1480
_cell_angle_alpha 60.00
_cell_angle_beta 60.00
_cell_angle_gamma 60.00
_symmetry_space_group_name_H-M 'P 1'
_symmetry_Int_Tables_number 1
loop_
_symmetry_equiv_pos_as_xyz
'x,y,z'
loop_
_atom_site_label
_atom_site_type_symbol
_atom_site_fract_x
_atom_site_fract_y
_atom_site_fract_z
_atom_site_occupancy
Ru1 Ru 0.7500 0.7500 0.7500 1
Os1 Os 0.3754 0.3754 0.8737 1
Os2 Os 0.8737 0.3754 0.3754 1
Sc1 Sc 0.0000 0.0000 0.0000 1
Os3 Os 0.3754 0.3754 0.3754 1
Os4 Os 0.3754 0.8737 0.3754 1
```

Output
* energy relative to the elements: 250 meV per atom
* space group: No. 216
* V: 96.5 Å³ per cell

---

No. 13
The following is a DFT calculation (PBE-GGA) of crystalline ScOs2Ru at its relaxed geometry.

Cell and atoms, written as CIF:
```
data_ScOs2Ru
_chemical_formula_sum 'Sc1 Os2 Ru1'
_cell_length_a 4.4362
_cell_length_b 4.4362
_cell_length_c 4.4362
_cell_angle_alpha 60.00
_cell_angle_beta 60.00
_cell_angle_gamma 60.00
_symmetry_space_group_name_H-M 'P 1'
_symmetry_Int_Tables_number 1
loop_
_symmetry_equiv_pos_as_xyz
'x,y,z'
loop_
_atom_site_label
_atom_site_type_symbol
_atom_site_fract_x
_atom_site_fract_y
_atom_site_fract_z
_atom_site_occupancy
Sc1 Sc 0.7500 0.7500 0.7500 1
Os1 Os 0.2500 0.2500 0.2500 1
Os2 Os 0.0000 0.0000 0.0000 1
Ru1 Ru 0.5000 0.5000 0.5000 1
```

Output
* energy relative to the elements: 141 meV per atom
* space group: No. 216
* V: 61.7 Å³ per cell

---

No. 14
The following is a DFT calculation (PBE-GGA) of crystalline Sc2Os2Ru at its relaxed geometry.

Cell and atoms, written as CIF:
```
data_Sc2Os2Ru
_chemical_formula_sum 'Sc4 Os4 Ru2'
_cell_length_a 6.5164
_cell_length_b 6.5164
_cell_length_c 4.2502
_cell_angle_alpha 90.00
_cell_angle_beta 90.00
_cell_angle_gamma 90.00
_symmetry_space_group_name_H-M 'P 1'
_symmetry_Int_Tables_number 1
loop_
_symmetry_equiv_pos_as_xyz
'x,y,z'
loop_
_atom_site_label
_atom_site_type_symbol
_atom_site_fract_x
_atom_site_fract_y
_atom_site_fract_z
_atom_site_occupancy
Sc1 Sc 0.8209 0.3209 0.5000 1
Ru1 Ru 0.5000 0.5000 0.0000 1
Sc2 Sc 0.6791 0.8209 0.5000 1
Sc3 Sc 0.3209 0.1791 0.5000 1
Ru2 Ru 0.0000 0.0000 0.0000 1
Os1 Os 0.1301 0.3699 0.0000 1
Sc4 Sc 0.1791 0.6791 0.5000 1
Os2 Os 0.8699 0.6301 0.0000 1
Os3 Os 0.6301 0.1301 0.0000 1
Os4 Os 0.3699 0.8699 0.0000 1
```

Output
* energy relative to the elements: -137 meV per atom
* space group: No. 127
* V: 180.5 Å³ per cell